VASP calculation (GGA-PBE) on a relaxed Sr2Zn4Cu5 crystal.

The structure in extended XYZ format:
```
11
Lattice="6.4131 -2.5574 0.0000 6.4131 2.5574 0.0000 -4.9243 0.0000 6.5118" Properties=species:S:1:pos:R:3 pbc="T T T"
Sr 1.2548 0.0000 1.7030
Sr 6.6470 0.0000 4.8088
Zn -1.2899 0.0000 3.6549
Zn -1.2073 0.0000 6.1468
Zn 9.1092 0.0000 0.3650
Zn 9.1918 0.0000 2.8569
Cu 4.7083 1.2552 1.5371
Cu 3.1936 1.2552 4.9747
Cu 6.4131 0.0000 0.0000
Cu 4.7083 -1.2552 1.5371
Cu 3.1936 -1.2552 4.9747
```

crystal system: monoclinic
space-group type: No. 12
size of the total moment: 0.00 Bohr magnetons per cell
E above lowest polymorph: 83.9 meV/atom
E_tot: -2.68 eV/atom
energy relative to the elements: -0.558 eV/f.u.
calculated density: 5.87 g/cm³